Material: PaMn2OsO8
Method: DFT, PBE with a Hubbard U
State: optimized geometry

Summary:
density	7.15	g cm⁻³
magnetization	9.01	μB per cell
E_tot	-8.247	eV/atom

Cell: 4.818 4.817 6.599 Å, 90.00 90.00 91.14°
Sites, in units of the cell vectors:
Pa1 0.000 0.000 0.500
O1 0.192 0.808 0.220
O2 0.303 0.303 0.500
O3 0.808 0.192 0.220
O4 0.274 0.274 0.000
O5 0.697 0.697 0.500
O6 0.192 0.808 0.780
O7 0.808 0.192 0.780
O8 0.726 0.726 0.000
Mn1 0.500 0.500 0.243
Mn2 0.500 0.500 0.757
Os1 0.000 0.000 0.000